(1)
{"formula": "TlRu2S2", "functional": "PBE", "state": "relaxed", "lattice_angstrom": [[-2.110, 2.110, 5.119], [2.110, -2.110, 5.119], [2.110, 2.110, -5.119]], "species": ["Tl", "Ru", "Ru", "S", "S"], "fractional_positions": [[0.000, 0.000, 0.000], [0.352, 0.352, 0.000], [0.648, 0.648, 0.000], [0.250, 0.750, 0.500], [0.750, 0.250, 0.500]], "crystal_system": "tetragonal", "spacegroup": "I4/mmm (139)", "raw_formation_energy_ev_per_atom": 0.18}

=====

(2)
{"formula": "TlRu2S", "functional": "PBE", "state": "relaxed", "lattice_angstrom": [[0.000, 3.184, 3.184], [3.184, 0.000, 3.184], [3.184, 3.184, 0.000]], "species": ["Tl", "Ru", "Ru", "S"], "fractional_positions": [[0.000, 0.000, 0.000], [0.250, 0.250, 0.250], [0.750, 0.750, 0.750], [0.500, 0.500, 0.500]], "crystal_system": "cubic", "spacegroup": "Fm-3m (225)", "raw_formation_energy_ev_per_atom": 0.72, "polymorph_energy_ev_per_fu": 1.608}

=====

(3)
{"formula": "Tl2RuS2", "functional": "PBE", "state": "relaxed", "lattice_angstrom": [[-2.088, 2.088, 7.136], [2.088, -2.088, 7.136], [2.088, 2.088, -7.136]], "species": ["Tl", "Tl", "Ru", "S", "S"], "fractional_positions": [[0.250, 0.750, 0.500], [0.750, 0.250, 0.500], [0.000, 0.000, 0.000], [0.425, 0.425, 0.000], [0.575, 0.575, 0.000]], "crystal_system": "tetragonal", "spacegroup": "I4/mmm (139)", "raw_formation_energy_ev_per_atom": 0.87, "polymorph_energy_ev_per_fu": 4.376}

=====

(4)
{"formula": "U3Tl3RuS8", "functional": "PBE", "state": "relaxed", "lattice_angstrom": [[3.760, 2.171, 7.930], [-3.760, 2.171, 7.930], [0.000, -4.342, 7.930]], "species": ["U", "U", "U", "Tl", "Tl", "Tl", "Ru", "S", "S", "S", "S", "S", "S", "S", "S"], "fractional_positions": [[0.000, 0.500, 0.500], [0.500, 0.000, 0.500], [0.500, 0.500, 0.000], [0.000, 0.000, 0.500], [0.000, 0.500, 0.000], [0.500, 0.000, 0.000], [0.000, 0.000, 0.000], [0.217, 0.217, 0.754], [0.217, 0.754, 0.217], [0.246, 0.783, 0.783], [0.265, 0.265, 0.265], [0.735, 0.735, 0.735], [0.754, 0.217, 0.217], [0.783, 0.246, 0.783], [0.783, 0.783, 0.246]], "crystal_system": "trigonal", "spacegroup": "R-3m (166)", "raw_formation_energy_ev_per_atom": -0.92}

=====

(5)
{"formula": "UTlRuS3", "functional": "PBE", "state": "relaxed", "lattice_angstrom": [[8.863, 0.000, 0.000], [0.000, 3.852, 0.000], [-2.900, 0.000, 8.788]], "species": ["U", "U", "Tl", "Tl", "Ru", "Ru", "S", "S", "S", "S", "S", "S"], "fractional_positions": [[0.175, 0.250, 0.153], [0.825, 0.750, 0.847], [0.309, 0.750, 0.753], [0.691, 0.250, 0.247], [0.420, 0.750, 0.398], [0.580, 0.250, 0.602], [0.042, 0.250, 0.846], [0.305, 0.250, 0.457], [0.374, 0.750, 0.130], [0.626, 0.250, 0.870], [0.695, 0.750, 0.543], [0.958, 0.750, 0.154]], "crystal_system": "monoclinic", "spacegroup": "P2_1/m (11)", "raw_formation_energy_ev_per_atom": -0.80}

=====

(6)
{"formula": "TlZnRu2S", "functional": "PBE", "state": "relaxed", "lattice_angstrom": [[4.728, 0.000, 0.000], [0.000, 4.728, 0.000], [0.000, 0.000, 4.952]], "species": ["Tl", "Zn", "Ru", "Ru", "S"], "fractional_positions": [[0.000, 0.000, 0.000], [0.000, 0.000, 0.500], [0.000, 0.500, 0.500], [0.500, 0.000, 0.500], [0.500, 0.500, 0.000]], "crystal_system": "tetragonal", "spacegroup": "P4/mmm (123)", "raw_formation_energy_ev_per_atom": 1.47}

=====

(7)
{"formula": "ZrTl2RuS", "functional": "PBE", "state": "relaxed", "lattice_angstrom": [[5.208, 0.000, 0.000], [0.000, 5.208, 0.000], [0.000, 0.000, 4.891]], "species": ["Zr", "Tl", "Tl", "Ru", "S"], "fractional_positions": [[0.000, 0.000, 0.000], [0.000, 0.500, 0.500], [0.500, 0.000, 0.500], [0.000, 0.000, 0.500], [0.500, 0.500, 0.000]], "crystal_system": "tetragonal", "spacegroup": "P4/mmm (123)", "raw_formation_energy_ev_per_atom": 0.23}

=====

(8)
{"formula": "TmRuS", "functional": "PBE", "state": "relaxed", "lattice_angstrom": [[1.997, 1.153, 10.823], [-1.997, 1.153, 10.823], [0.000, -2.306, 10.823]], "species": ["Tm", "Tm", "Ru", "Ru", "S", "S"], "fractional_positions": [[0.074, 0.074, 0.074], [0.926, 0.926, 0.926], [0.341, 0.341, 0.341], [0.659, 0.659, 0.659], [0.222, 0.222, 0.222], [0.778, 0.778, 0.778]], "crystal_system": "trigonal", "spacegroup": "R-3m (166)", "raw_formation_energy_ev_per_atom": -0.83}

=====

(9)
{"formula": "URuS3", "functional": "PBE", "state": "relaxed", "lattice_angstrom": [[6.932, 0.000, 0.000], [0.000, 8.676, 0.000], [0.000, 0.000, 5.932]], "species": ["U", "U", "U", "U", "Ru", "Ru", "Ru", "Ru", "S", "S", "S", "S", "S", "S", "S", "S", "S", "S", "S", "S"], "fractional_positions": [[0.123, 0.250, 0.070], [0.377, 0.750, 0.570], [0.623, 0.250, 0.430], [0.877, 0.750, 0.930], [0.000, 0.000, 0.500], [0.000, 0.500, 0.500], [0.500, 0.000, 0.000], [0.500, 0.500, 0.000], [0.052, 0.750, 0.338], [0.182, 0.557, 0.849], [0.182, 0.943, 0.849], [0.318, 0.057, 0.349], [0.318, 0.443, 0.349], [0.448, 0.250, 0.838], [0.552, 0.750, 0.162], [0.682, 0.557, 0.651], [0.682, 0.943, 0.651], [0.818, 0.057, 0.151], [0.818, 0.443, 0.151], [0.948, 0.250, 0.662]], "crystal_system": "orthorhombic", "spacegroup": "Pnma (62)", "raw_formation_energy_ev_per_atom": -1.00}

=====

(10)
{"formula": "VRu3S", "functional": "PBE", "state": "relaxed", "lattice_angstrom": [[4.497, 0.000, 0.000], [0.000, 4.497, 0.000], [0.000, 0.000, 4.497]], "species": ["V", "Ru", "Ru", "Ru", "S"], "fractional_positions": [[0.000, 0.000, 0.000], [0.000, 0.000, 0.500], [0.000, 0.500, 0.000], [0.500, 0.000, 0.000], [0.500, 0.500, 0.500]], "crystal_system": "cubic", "spacegroup": "Pm-3m (221)", "raw_formation_energy_ev_per_atom": 1.48, "polymorph_energy_ev_per_fu": 4.908}

=====

(11)
{"formula": "VRu3S", "functional": "PBE", "state": "relaxed", "lattice_angstrom": [[4.305, 0.000, 0.000], [0.000, 4.305, 0.000], [0.000, 0.000, 4.305]], "species": ["V", "Ru", "Ru", "Ru", "S"], "fractional_positions": [[0.000, 0.000, 0.000], [0.000, 0.500, 0.500], [0.500, 0.000, 0.500], [0.500, 0.500, 0.000], [0.500, 0.500, 0.500]], "crystal_system": "cubic", "spacegroup": "Pm-3m (221)", "raw_formation_energy_ev_per_atom": 0.50, "polymorph_energy_ev_per_fu": 0.000}

=====

(12)
{"formula": "V2RuS", "functional": "PBE", "state": "relaxed", "lattice_angstrom": [[2.869, 0.000, 0.000], [0.000, 2.869, 0.000], [0.000, 0.000, 6.372]], "species": ["V", "V", "Ru", "S"], "fractional_positions": [[0.000, 0.000, 0.231], [0.000, 0.000, 0.769], [0.500, 0.500, 0.500], [0.500, 0.500, 0.000]], "crystal_system": "tetragonal", "spacegroup": "P4/mmm (123)", "raw_formation_energy_ev_per_atom": -0.31}

=====

What did the first record say?
{"formula": "TlRu2S2", "functional": "PBE", "state": "relaxed", "lattice_angstrom": [[-2.110, 2.110, 5.119], [2.110, -2.110, 5.119], [2.110, 2.110, -5.119]], "species": ["Tl", "Ru", "Ru", "S", "S"], "fractional_positions": [[0.000, 0.000, 0.000], [0.352, 0.352, 0.000], [0.648, 0.648, 0.000], [0.250, 0.750, 0.500], [0.750, 0.250, 0.500]], "crystal_system": "tetragonal", "spacegroup": "I4/mmm (139)", "raw_formation_energy_ev_per_atom": 0.18}

=====

What did the sixth record say?
{"formula": "TlZnRu2S", "functional": "PBE", "state": "relaxed", "lattice_angstrom": [[4.728, 0.000, 0.000], [0.000, 4.728, 0.000], [0.000, 0.000, 4.952]], "species": ["Tl", "Zn", "Ru", "Ru", "S"], "fractional_positions": [[0.000, 0.000, 0.000], [0.000, 0.000, 0.500], [0.000, 0.500, 0.500], [0.500, 0.000, 0.500], [0.500, 0.500, 0.000]], "crystal_system": "tetragonal", "spacegroup": "P4/mmm (123)", "raw_formation_energy_ev_per_atom": 1.47}